i:
This record from Alexandria describes a relaxed LaPrNdZn crystal. The functional is PBE-GGA.

```
data_LaPrNdZn
_cell_length_a 5.556
_cell_length_b 5.556
_cell_length_c 5.556
_cell_angle_alpha 60.00
_cell_angle_beta 60.00
_cell_angle_gamma 60.00
_space_group_name_H-M_alt 'P 1'
_space_group_IT_number 1
loop_
_space_group_symop_operation_xyz
'x,y,z'
loop_
_atom_site_label
_atom_site_fract_x
_atom_site_fract_y
_atom_site_fract_z
_atom_site_occupancy
Pr1 0.750 0.750 0.750 1
Zn1 0.000 0.000 0.000 1
Nd1 0.500 0.500 0.500 1
La1 0.250 0.250 0.250 1
```

- Theoretical density: 6.70 g/cm³
- N(E_F): 5.8 states/eV/cell
- Total moment: 0.0 Bohr magnetons per cell

---

ii:
This record from Alexandria describes a relaxed LaPrNdZn crystal. The functional is PBE-GGA.

```
data_LaPrNdZn
_cell_length_a 3.732
_cell_length_b 3.732
_cell_length_c 8.845
_cell_angle_alpha 90.00
_cell_angle_beta 90.00
_cell_angle_gamma 90.00
_space_group_name_H-M_alt 'P 1'
_space_group_IT_number 1
loop_
_space_group_symop_operation_xyz
'x,y,z'
loop_
_atom_site_label
_atom_site_fract_x
_atom_site_fract_y
_atom_site_fract_z
_atom_site_occupancy
La1 0.000 0.000 0.073 1
Pr1 0.500 0.500 0.776 1
Nd1 0.500 0.500 0.367 1
Zn1 0.000 0.000 0.569 1
```

- Theoretical density: 6.60 g/cm³
- N(E_F): 5.0 states/eV/cell
- Total moment: 0.0 Bohr magnetons per cell

---

It turns out ii is the most stable, with the second structure 19.0 kJ/mol of atoms higher.

---

i:
This record from Alexandria describes a relaxed La2NdPt crystal. The functional is PBE-GGA.

```
data_La2NdPt
_cell_length_a 3.965
_cell_length_b 6.444
_cell_length_c 10.208
_cell_angle_alpha 90.00
_cell_angle_beta 90.00
_cell_angle_gamma 107.92
_space_group_name_H-M_alt 'P 1'
_space_group_IT_number 1
loop_
_space_group_symop_operation_xyz
'x,y,z'
loop_
_atom_site_label
_atom_site_fract_x
_atom_site_fract_y
_atom_site_fract_z
_atom_site_occupancy
La1 0.137 0.275 0.438 1
La2 0.863 0.725 0.562 1
La3 0.863 0.725 0.938 1
La4 0.137 0.275 0.062 1
Nd1 0.419 0.839 0.250 1
Nd2 0.581 0.161 0.750 1
Pt1 0.725 0.451 0.250 1
Pt2 0.275 0.549 0.750 1
```

- Theoretical density: 8.26 g/cm³
- N(E_F): 11.9 states/eV/cell
- Total moment: 0.0 Bohr magnetons per cell

---

ii:
This record from Alexandria describes a relaxed La2NdPt crystal. The functional is PBE-GGA.

```
data_La2NdPt
_cell_length_a 3.754
_cell_length_b 3.754
_cell_length_c 8.685
_cell_angle_alpha 90.00
_cell_angle_beta 90.00
_cell_angle_gamma 90.00
_space_group_name_H-M_alt 'P 1'
_space_group_IT_number 1
loop_
_space_group_symop_operation_xyz
'x,y,z'
loop_
_atom_site_label
_atom_site_fract_x
_atom_site_fract_y
_atom_site_fract_z
_atom_site_occupancy
Nd1 0.500 0.500 0.500 1
Pt1 0.500 0.500 0.000 1
La1 0.000 0.000 0.804 1
La2 0.000 0.000 0.196 1
```

- Theoretical density: 8.37 g/cm³
- N(E_F): 6.8 states/eV/cell
- Total moment: 0.0 Bohr magnetons per cell

---

iii:
This record from Alexandria describes a relaxed La2NdPt crystal. The functional is PBE-GGA.

```
data_La2NdPt
_cell_length_a 4.070
_cell_length_b 4.070
_cell_length_c 9.784
_cell_angle_alpha 77.99
_cell_angle_beta 77.99
_cell_angle_gamma 60.00
_space_group_name_H-M_alt 'P 1'
_space_group_IT_number 1
loop_
_space_group_symop_operation_xyz
'x,y,z'
loop_
_atom_site_label
_atom_site_fract_x
_atom_site_fract_y
_atom_site_fract_z
_atom_site_occupancy
La1 0.062 0.062 0.815 1
La2 0.272 0.272 0.185 1
Nd1 0.500 0.500 0.499 1
Pt1 0.666 0.666 0.001 1
```

- Theoretical density: 7.52 g/cm³
- N(E_F): 5.2 states/eV/cell
- Total moment: 0.0 Bohr magnetons per cell

---

It turns out i is the most stable, with the second structure 9.5 kJ/mol of atoms higher.

---

i:
This record from Alexandria describes a relaxed La2NdPt crystal. The functional is PBE-GGA.

```
data_La2NdPt
_cell_length_a 4.016
_cell_length_b 4.016
_cell_length_c 9.972
_cell_angle_alpha 78.38
_cell_angle_beta 78.38
_cell_angle_gamma 60.00
_space_group_name_H-M_alt 'P 1'
_space_group_IT_number 1
loop_
_space_group_symop_operation_xyz
'x,y,z'
loop_
_atom_site_label
_atom_site_fract_x
_atom_site_fract_y
_atom_site_fract_z
_atom_site_occupancy
Nd1 0.500 0.500 0.500 1
Pt1 0.000 0.000 0.000 1
La1 0.272 0.272 0.185 1
La2 0.728 0.728 0.815 1
```

- Theoretical density: 7.57 g/cm³
- N(E_F): 4.4 states/eV/cell
- Total moment: 0.0 Bohr magnetons per cell

---

ii:
This record from Alexandria describes a relaxed La2NdPt crystal. The functional is PBE-GGA.

```
data_La2NdPt
_cell_length_a 6.683
_cell_length_b 7.344
_cell_length_c 10.296
_cell_angle_alpha 90.00
_cell_angle_beta 90.00
_cell_angle_gamma 90.00
_space_group_name_H-M_alt 'P 1'
_space_group_IT_number 1
loop_
_space_group_symop_operation_xyz
'x,y,z'
loop_
_atom_site_label
_atom_site_fract_x
_atom_site_fract_y
_atom_site_fract_z
_atom_site_occupancy
La1 0.171 0.676 0.062 1
La2 0.329 0.176 0.438 1
La3 0.829 0.324 0.562 1
La4 0.671 0.824 0.938 1
La5 0.829 0.324 0.938 1
La6 0.671 0.824 0.562 1
La7 0.171 0.676 0.438 1
La8 0.329 0.176 0.062 1
Nd1 0.648 0.527 0.250 1
Nd2 0.852 0.027 0.250 1
Nd3 0.352 0.473 0.750 1
Nd4 0.148 0.973 0.750 1
Pt1 0.073 0.380 0.250 1
Pt2 0.427 0.880 0.250 1
Pt3 0.927 0.620 0.750 1
Pt4 0.573 0.120 0.750 1
```

- Theoretical density: 8.11 g/cm³
- N(E_F): 17.9 states/eV/cell
- Total moment: 0.0 Bohr magnetons per cell

---

It turns out ii is the most stable, with the second structure 12.2 kJ/mol of atoms higher.